Record 1
Material: Tb4ErNi4
Method: DFT, PBE
State: relaxed

## Properties
Crystal system: tetragonal
DOS at the Fermi energy, states/eV per cell: 15.2
Spin magnetization, Bohr magnetons per cell: 0.0
Energy relative to the elements, eV per atom: -0.26

a b c (Å): 8.4794 8.4794 5.6589
angles (deg): 90.00 90.00 90.00
Last column: nearest neighbours and their distance in Å.
Space group P4_2/n (No. 86, origin choice 2)
Symmetry-distinct sites (fractional):
Tb 0.0617 0.6660 0.1490  5 Ni 2.69-2.97
Er 0.2500 0.2500 0.2500  4 Ni 2.64
Ni 0.0222 0.6190 0.6334  1 Ni 2.55, 1 Er 2.64, 3 Tb 2.69-2.80

---

Record 2
Material: Tb3CeTm8
Method: DFT, PBE
State: relaxed

## Properties
Crystal system: tetragonal
DOS at the Fermi energy, states/eV per cell: 35.1
Spin magnetization, Bohr magnetons per cell: 3.6
Energy relative to the elements, eV per atom: 0.78

a b c (Å): 7.5772 7.5772 15.2247
angles (deg): 90.00 90.00 90.00
Last column: nearest neighbours and their distance in Å.
Space group I4/mmm (No. 139)
Symmetry-distinct sites (fractional):
Tb 0.0000 0.0000 0.0000  8 Tm 3.30
Tb 0.0000 0.5000 0.2500  8 Tm 3.30
Ce 0.0000 0.0000 0.5000  8 Tm 3.26
Tm 0.2478 0.2478 0.3761  1 Ce 3.26, 3 Tb 3.30